1.
# YSiAs2

A relaxed YSiAs2 crystal (PBE-GGA, Alexandria).

total energy: -5.059 eV per atom
ρ: 5.18 g/cm³
formation energy without anion corrections: 238 meV per atom
space group: R-3m, No. 166

Lattice parameters (Å, degrees): 10.3347 10.3347 10.3347 17.34 17.34 17.34
With the nearest neighbours (Å) after each atom.
Atoms (fractional coordinates):
Y: 0.0000 0.0000 0.0000  6 As 3.04, 6 Y 3.11
Si: 0.5000 0.5000 0.5000  6 Si 3.11, 6 As 3.19
As: 0.2530 0.2530 0.2530  3 Y 3.04, 6 As 3.11, 3 Si 3.19
As: 0.7470 0.7470 0.7470  3 Y 3.04, 6 As 3.11, 3 Si 3.19

2.
# PrAlH8Rh2

A relaxed PrAlH8Rh2 crystal (PBE-GGA, Alexandria).

total energy: -4.396 eV per atom
ρ: 6.34 g/cm³
space group: R-3m, No. 166

Lattice parameters (Å, degrees): 6.1486 6.1486 6.1486 43.53 43.53 43.53
With the nearest neighbours (Å) after each atom.
Atoms (fractional coordinates):
Pr: 0.0000 0.0000 0.0000  18 H 2.62-2.65
Al: 0.5000 0.5000 0.5000  6 H 1.89
H: 0.1230 0.5528 0.5528  1 Rh 1.66, 1 H 1.79
H: 0.3157 0.3157 0.3157  1 Rh 1.68, 3 H 1.79
H: 0.4472 0.4472 0.8770  1 Rh 1.66, 1 H 1.79
H: 0.4472 0.8770 0.4472  1 Rh 1.66, 1 H 1.79
H: 0.5528 0.1230 0.5528  1 Rh 1.66, 1 H 1.79
H: 0.5528 0.5528 0.1230  1 Rh 1.66, 1 H 1.79
H: 0.6843 0.6843 0.6843  1 Rh 1.68, 3 H 1.79
H: 0.8770 0.4472 0.4472  1 Rh 1.66, 1 H 1.79
Rh: 0.2148 0.2148 0.2148  4 H 1.66-1.68
Rh: 0.7852 0.7852 0.7852  4 H 1.66-1.68

3.
# ThUNi2As2

A relaxed ThUNi2As2 crystal (PBE-GGA, Alexandria).

total energy: -7.410 eV per atom
ρ: 10.81 g/cm³
space group: P-3m1, No. 164
energy of formation from the pure elements: -815.0 meV per atom

Lattice parameters (Å, degrees): 4.0442 4.0442 7.9939 90.00 90.00 120.00
With the nearest neighbours (Å) after each atom.
Atoms (fractional coordinates):
Th: 0.0000 0.0000 0.0000  6 As 3.06, 6 Ni 3.32
U: 0.0000 0.0000 0.5000  6 Ni 2.85, 6 As 3.09
Ni: 0.3333 0.6667 0.7047  3 As 2.37
Ni: 0.6667 0.3333 0.2953  3 As 2.37
As: 0.3333 0.6667 0.2469  3 Ni 2.37
As: 0.6667 0.3333 0.7531  3 Ni 2.37

4.
# Pm5Tl6

A relaxed Pm5Tl6 crystal (PBE-GGA, Alexandria).

total energy: -3.746 eV per atom
energy relative to the lowest polymorph listed for this composition: 0.000 eV per atom
ρ: 9.44 g/cm³
space group: C2/m, No. 12
energy of formation from the pure elements: -295.6 meV per atom

Lattice parameters (Å, degrees): 9.4911 9.4911 5.3923 106.33 106.33 47.95
With the nearest neighbours (Å) after each atom.
Atoms (fractional coordinates):
Pm: 0.0000 0.0000 0.0000  8 Tl 3.28-3.33
Pm: 0.1723 0.1723 0.6723  8 Tl 3.31-3.41
Pm: 0.3494 0.3494 0.3495  6 Tl 3.18-3.33
Pm: 0.6506 0.6506 0.6505  6 Tl 3.18-3.33
Pm: 0.8277 0.8277 0.3277  8 Tl 3.31-3.41
Tl: 0.0843 0.5862 0.8354  7 Pm 3.31-3.60
Tl: 0.2433 0.7567 0.5000  6 Pm 3.18-3.41
Tl: 0.4138 0.9157 0.1646  7 Pm 3.31-3.60
Tl: 0.5862 0.0843 0.8354  7 Pm 3.31-3.60
Tl: 0.7567 0.2433 0.5000  6 Pm 3.18-3.41
Tl: 0.9157 0.4138 0.1646  7 Pm 3.31-3.60

5.
# LiTeAs2

A relaxed LiTeAs2 crystal (PBE-GGA, Alexandria).

total energy: -3.779 eV per atom
ρ: 5.57 g/cm³
formation energy without anion corrections: -190 meV per atom
space group: Fmmm, No. 69

Lattice parameters (Å, degrees): 5.9885 5.9517 4.0209 70.81 69.83 39.36
With the nearest neighbours (Å) after each atom.
Atoms (fractional coordinates):
Li: 0.0000 0.0000 0.0000  4 Te 2.80-2.88, 4 As 2.99
Te: 0.5000 0.5000 0.5000  4 Li 2.80-2.88, 4 As 2.99
As: 0.0000 0.5000 0.5000  4 As 2.80-2.88, 2 Te 2.99, 2 Li 2.99
As: 0.5000 0.0000 0.0000  4 As 2.80-2.88, 2 Te 2.99, 2 Li 2.99

6.
# Y2Hf2Tl

A relaxed Y2Hf2Tl crystal (PBE-GGA, Alexandria).

total energy: -6.695 eV per atom
energy relative to the lowest polymorph listed for this composition: 0.222 eV per atom
ρ: 8.88 g/cm³
space group: P4/mbm, No. 127
energy of formation from the pure elements: 345.3 meV per atom

Lattice parameters (Å, degrees): 8.0457 8.0457 4.2708 90.00 90.00 90.00
With the nearest neighbours (Å) after each atom.
Atoms (fractional coordinates):
Y: 0.1523 0.3477 0.0000  2 Tl 3.05, 6 Hf 3.15-3.23
Y: 0.3477 0.8477 0.0000  2 Tl 3.05, 6 Hf 3.15-3.23
Y: 0.6523 0.1523 0.0000  2 Tl 3.05, 6 Hf 3.15-3.23
Y: 0.8477 0.6523 0.0000  2 Tl 3.05, 6 Hf 3.15-3.23
Hf: 0.1352 0.6352 0.5000  1 Hf 3.08, 6 Y 3.15-3.23
Hf: 0.3648 0.1352 0.5000  1 Hf 3.08, 6 Y 3.15-3.23
Hf: 0.6352 0.8648 0.5000  1 Hf 3.08, 6 Y 3.15-3.23
Hf: 0.8648 0.3648 0.5000  1 Hf 3.08, 6 Y 3.15-3.23
Tl: 0.0000 0.0000 0.0000  4 Y 3.05
Tl: 0.5000 0.5000 0.0000  4 Y 3.05

7.
# TiBeCd2O5

A relaxed TiBeCd2O5 crystal (PBE-GGA, Alexandria).

total energy: -6.243 eV per atom
ρ: 5.72 g/cm³
formation energy without anion corrections: -1994 meV per atom
space group: Cmc2_1, No. 36

Lattice parameters (Å, degrees): 6.7864 6.7864 10.5252 90.00 90.00 154.31
With the nearest neighbours (Å) after each atom.
Atoms (fractional coordinates):
Ti: 0.2089 0.7911 0.5000  6 O 1.91-2.05
Ti: 0.7911 0.2089 0.0000  6 O 1.91-2.05
Be: 0.4246 0.5754 0.8714  4 O 1.60-1.73
Be: 0.5754 0.4246 0.3714  4 O 1.60-1.73
Cd: 0.0610 0.9390 0.1005  5 O 2.27-2.31
Cd: 0.1303 0.8697 0.7921  7 O 2.37-2.53
Cd: 0.8697 0.1303 0.2921  7 O 2.37-2.53
Cd: 0.9390 0.0610 0.6005  5 O 2.27-2.31
O: 0.0618 0.9382 0.4499  2 Be 1.73
O: 0.2989 0.7011 0.8691  1 Be 1.66
O: 0.3016 0.6984 0.1198  2 Ti 1.97
O: 0.3517 0.6483 0.4749  1 Ti 1.91
O: 0.4942 0.5058 0.7465  1 Be 1.60
O: 0.5058 0.4942 0.2465  1 Be 1.60
O: 0.6483 0.3517 0.9749  1 Ti 1.91
O: 0.6984 0.3016 0.6198  2 Ti 1.97
O: 0.7011 0.2989 0.3691  1 Be 1.66
O: 0.9382 0.0618 0.9499  2 Be 1.73

8.
# Ce3ErGa2

A relaxed Ce3ErGa2 crystal (PBE-GGA, Alexandria).

total energy: -5.097 eV per atom
ρ: 8.32 g/cm³
space group: C2/m, No. 12
energy of formation from the pure elements: -360.3 meV per atom

Lattice parameters (Å, degrees): 9.0018 9.0018 8.5996 115.50 115.50 27.68
With the nearest neighbours (Å) after each atom.
Atoms (fractional coordinates):
Ce: 0.0686 0.0686 0.4467  3 Ce 2.83-2.92, 2 Ga 3.04
Ce: 0.2864 0.2864 0.5999  2 Ce 2.70, 1 Ga 3.00
Ce: 0.3774 0.3774 0.3157  2 Ce 2.83, 2 Ga 3.11
Ce: 0.6226 0.6226 0.6843  2 Ce 2.83, 2 Ga 3.11
Ce: 0.7136 0.7136 0.4001  2 Ce 2.70, 1 Ga 3.00
Ce: 0.9314 0.9314 0.5533  3 Ce 2.83-2.92, 2 Ga 3.04
Er: 0.1086 0.1086 0.0356  7 Ga 3.03-3.18
Er: 0.8914 0.8914 0.9644  7 Ga 3.03-3.18
Ga: 0.2519 0.2519 0.9124  2 Ga 2.65
Ga: 0.4824 0.4824 0.8309  1 Ga 2.69
Ga: 0.5176 0.5176 0.1691  1 Ga 2.69
Ga: 0.7481 0.7481 0.0876  2 Ga 2.65

- Look up the total energy of the second one.
  -4.396 eV per atom